Here is a relaxed structure of Li2CrS2O6 from the Alexandria database. Energies are from GGA+U.

Cell and atoms, written as POSCAR:
```
Li2CrS2O6
1.0
-5.128 -0.766 -0.400
3.180 -1.671 -3.760
0.532 -4.944 2.648
S O Li Cr
2 6 2 1
Direct
0.667 0.333 0.137
0.333 0.667 0.863
0.715 0.627 0.250
0.627 0.912 0.750
0.373 0.088 0.250
0.088 0.715 0.750
0.912 0.285 0.250
0.285 0.373 0.750
0.667 0.333 0.655
0.333 0.667 0.345
0.000 0.000 0.000
```

Calculated values
**Theoretical density**: 2.8 g cm⁻³
**SG**: No. 147
**Crystal system**: trigonal

=====

Here is a relaxed structure of LiCrS2O8 from the Alexandria database. Energies are from GGA+U.

Cell and atoms, written as POSCAR:
```
LiCrS2O8
1.0
-3.216 -5.600 -5.269
4.517 -6.616 -2.333
-2.263 -8.007 3.306
O Li S Cr
24 3 6 3
Direct
0.375 0.635 0.761
0.382 0.755 0.237
0.106 0.509 0.089
0.657 0.715 0.612
0.646 0.231 0.761
0.004 0.340 0.688
0.876 0.486 0.913
0.024 0.658 0.606
0.303 0.105 0.090
0.958 0.358 0.406
0.476 0.723 0.918
0.527 0.300 0.074
0.716 0.885 0.914
0.622 0.387 0.238
0.276 0.957 0.408
0.754 0.628 0.234
0.227 0.375 0.769
0.972 0.681 0.299
0.725 0.024 0.603
0.669 0.051 0.305
0.344 0.294 0.383
0.976 0.996 0.696
0.337 0.972 0.687
0.048 0.980 0.293
0.193 0.742 0.631
0.358 0.347 0.943
0.747 0.436 0.629
0.955 0.546 0.248
0.253 0.956 0.248
0.762 0.036 0.745
0.457 0.763 0.747
0.542 0.258 0.244
0.037 0.459 0.748
0.848 0.855 0.452
0.642 0.645 0.069
0.159 0.157 0.532
```

Calculated values
**Theoretical density**: 2.8 g cm⁻³
**SG**: No. 1
**Crystal system**: triclinic

=====

Here is a relaxed structure of LiZnCr3S6O24 from the Alexandria database. Energies are from GGA+U.

Cell and atoms, written as POSCAR:
```
LiZnCr3S6O24
1.0
-3.341 -1.329 -7.483
-7.133 -4.266 -0.630
-7.397 4.545 -2.117
O Cr Zn S Li
24 3 1 6 1
Direct
0.339 0.943 0.703
0.688 0.899 0.923
0.952 0.368 0.410
0.948 0.019 0.706
0.763 0.635 0.222
0.494 0.690 0.923
0.004 0.339 0.709
0.615 0.240 0.763
0.524 0.287 0.075
0.983 0.686 0.288
0.296 0.105 0.072
0.291 0.973 0.383
0.114 0.499 0.094
0.387 0.605 0.770
0.638 0.380 0.219
0.352 0.292 0.384
0.046 0.984 0.295
0.379 0.760 0.226
0.236 0.381 0.767
0.673 0.046 0.300
0.895 0.506 0.917
0.714 0.020 0.608
0.031 0.657 0.599
0.663 0.702 0.610
0.852 0.850 0.451
0.354 0.348 0.940
0.644 0.646 0.067
0.166 0.144 0.542
0.253 0.956 0.247
0.465 0.741 0.753
0.747 0.037 0.749
0.955 0.545 0.253
0.040 0.471 0.748
0.543 0.251 0.247
0.767 0.416 0.640
```

Calculated values
**Theoretical density**: 3.0 g cm⁻³
**SG**: No. 1
**Crystal system**: triclinic

=====

Here is a relaxed structure of Li2Cr3SbO8 from the Alexandria database. Energies are from GGA+U.

Cell and atoms, written as POSCAR:
```
Li2Cr3SbO8
1.0
5.976 -0.002 0.005
0.002 9.633 -0.005
2.983 0.001 5.177
Cr Sb O Li
6 2 16 4
Direct
0.830 0.714 0.340
0.340 0.714 0.830
0.830 0.714 0.830
0.660 0.214 0.170
0.170 0.214 0.170
0.170 0.214 0.660
0.667 0.988 0.667
0.333 0.488 0.333
0.519 0.843 0.519
0.835 0.095 0.834
0.667 0.609 0.667
0.331 0.095 0.834
0.333 0.109 0.333
0.481 0.343 0.481
0.000 0.806 0.000
0.669 0.595 0.165
0.519 0.843 0.963
0.963 0.843 0.519
0.037 0.343 0.481
0.834 0.095 0.331
0.166 0.595 0.669
0.481 0.343 0.037
0.166 0.595 0.166
0.000 0.306 0.000
0.000 0.491 0.000
0.333 0.904 0.333
0.667 0.404 0.667
0.000 0.991 0.000
```

Calculated values
**Theoretical density**: 4.7 g cm⁻³
**SG**: No. 186
**Crystal system**: hexagonal

=====

Here is a relaxed structure of Li6Cr3Sb3O16 from the Alexandria database. Energies are from GGA+U.

Cell and atoms, written as POSCAR:
```
Li6Cr3Sb3O16
1.0
6.052 0.002 0.040
2.999 5.256 0.040
0.092 0.054 10.117
O Cr Li Sb
16 3 6 3
Direct
0.157 0.692 0.391
0.001 0.001 0.179
0.692 0.157 0.391
0.974 0.510 0.177
0.490 0.490 0.696
0.845 0.303 0.893
0.303 0.845 0.893
0.511 0.511 0.175
0.496 0.034 0.682
0.849 0.849 0.882
0.152 0.152 0.396
0.034 0.496 0.682
0.665 0.665 0.397
0.510 0.974 0.177
0.005 0.005 0.684
0.334 0.334 0.896
0.171 0.666 0.786
0.831 0.831 0.284
0.666 0.171 0.786
0.336 0.336 0.472
0.988 0.988 0.998
0.668 0.668 0.986
0.329 0.329 0.108
0.985 0.985 0.506
0.670 0.670 0.622
0.171 0.171 0.787
0.831 0.336 0.284
0.336 0.831 0.284
```

Calculated values
**Theoretical density**: 4.2 g cm⁻³
**SG**: No. 8
**Crystal system**: monoclinic

=====

Here is a relaxed structure of LiCr2SbO6 from the Alexandria database. Energies are from GGA+U.

Cell and atoms, written as POSCAR:
```
LiCr2SbO6
1.0
5.161 0.000 0.000
2.581 4.469 0.000
2.580 1.491 4.678
O Li Cr Sb
6 1 2 1
Direct
0.610 0.235 0.235
0.133 0.395 0.752
0.720 0.133 0.752
0.236 0.919 0.235
0.395 0.720 0.752
0.919 0.610 0.235
0.800 0.801 0.599
0.517 0.516 0.450
0.014 0.014 0.958
0.318 0.318 0.047
```

Calculated values
**Theoretical density**: 5.1 g cm⁻³
**SG**: No. 146
**Crystal system**: trigonal

=====

Here is a relaxed structure of Li2Cr3SbO8 from the Alexandria database. Energies are from GGA+U.

Cell and atoms, written as POSCAR:
```
Li2Cr3SbO8
1.0
6.018 0.000 0.000
3.009 5.211 0.000
3.009 1.737 4.988
O Cr Sb Li
8 3 1 2
Direct
0.264 0.716 0.757
0.734 0.734 0.797
0.264 0.264 0.757
0.736 0.736 0.243
0.716 0.264 0.757
0.266 0.266 0.203
0.284 0.736 0.243
0.736 0.284 0.243
0.500 0.000 0.000
0.000 0.500 0.000
0.500 0.500 0.000
0.500 0.500 0.500
0.869 0.869 0.393
0.131 0.131 0.607
```

Calculated values
**Theoretical density**: 4.5 g cm⁻³
**SG**: No. 166
**Crystal system**: trigonal

=====

Here is a relaxed structure of Li4Cr3Sn3Sb2O16 from the Alexandria database. Energies are from GGA+U.

Cell and atoms, written as POSCAR:
```
Li4Cr3Sn3Sb2O16
1.0
-5.638 -2.345 1.058
-0.586 -5.279 3.193
-0.629 5.243 8.692
O Sb Cr Li Sn
16 2 3 4 3
Direct
0.994 0.994 0.313
0.508 0.508 0.326
0.976 0.518 0.322
0.337 0.337 0.616
0.310 0.841 0.607
0.841 0.310 0.607
0.690 0.154 0.095
0.038 0.487 0.843
0.845 0.845 0.614
0.671 0.671 0.101
0.518 0.976 0.322
0.154 0.154 0.091
0.482 0.482 0.839
0.487 0.038 0.843
0.154 0.690 0.095
0.996 0.996 0.813
0.340 0.340 0.985
0.674 0.674 0.505
0.168 0.664 0.720
0.664 0.168 0.720
0.830 0.830 0.211
0.669 0.669 0.898
0.333 0.333 0.390
0.993 0.993 0.990
0.992 0.992 0.499
0.338 0.831 0.213
0.168 0.168 0.718
0.831 0.338 0.213
```

Calculated values
**Theoretical density**: 5.1 g cm⁻³
**SG**: No. 8
**Crystal system**: monoclinic

=====

Here is a relaxed structure of Li4CrSbTe2O12 from the Alexandria database. Energies are from GGA+U.

Cell and atoms, written as POSCAR:
```
Li4CrSbTe2O12
1.0
5.159 0.000 0.000
-0.003 5.417 -0.009
-0.002 -0.486 7.470
Sb O Li Te Cr
1 12 4 2 1
Direct
0.501 0.501 0.497
0.362 0.483 0.251
0.875 0.974 0.740
0.304 0.806 0.580
0.691 0.797 0.068
0.189 0.304 0.579
0.633 0.477 0.748
0.329 0.185 0.951
0.830 0.675 0.438
0.676 0.169 0.439
0.797 0.313 0.072
0.188 0.675 0.950
0.127 0.982 0.261
0.997 0.592 0.194
0.503 0.055 0.735
0.003 0.578 0.731
0.497 0.065 0.196
0.501 0.501 0.000
0.999 0.001 0.499
0.000 0.009 0.999
```

Calculated values
**Theoretical density**: 5.2 g cm⁻³
**SG**: No. 1
**Crystal system**: triclinic

=====

Here is a relaxed structure of Li4Ti3Cr3Sb2O16 from the Alexandria database. Energies are from GGA+U.

Cell and atoms, written as POSCAR:
```
Li4Ti3Cr3Sb2O16
1.0
2.999 5.188 0.006
-2.999 5.188 0.006
0.000 0.069 10.212
Cr Li Ti O Sb
3 4 3 16 2
Direct
0.338 0.832 0.277
0.169 0.169 0.796
0.832 0.338 0.277
0.667 0.667 0.617
0.999 0.999 0.504
0.999 0.999 0.009
0.336 0.336 0.097
0.167 0.654 0.784
0.654 0.167 0.784
0.828 0.828 0.274
0.841 0.313 0.906
0.999 0.999 0.694
0.683 0.155 0.387
0.998 0.998 0.186
0.313 0.841 0.906
0.156 0.156 0.388
0.337 0.337 0.896
0.672 0.672 0.382
0.845 0.845 0.905
0.155 0.683 0.387
0.969 0.523 0.160
0.018 0.501 0.689
0.523 0.969 0.160
0.501 0.018 0.689
0.519 0.519 0.160
0.489 0.489 0.687
0.663 0.663 0.006
0.331 0.331 0.486
```

Calculated values
**Theoretical density**: 4.3 g cm⁻³
**SG**: No. 8
**Crystal system**: monoclinic

=====

Here is a relaxed structure of Li4CrSbW2O12 from the Alexandria database. Energies are from GGA+U.

Cell and atoms, written as POSCAR:
```
Li4CrSbW2O12
1.0
-0.701 4.466 2.491
-5.150 0.173 -1.758
-1.697 -3.761 6.262
W O Li Cr Sb
2 12 4 1 1
Direct
0.996 0.007 0.500
0.504 0.496 0.997
0.201 0.688 0.946
0.627 0.508 0.747
0.182 0.311 0.566
0.368 0.492 0.247
0.324 0.191 0.947
0.804 0.316 0.061
0.815 0.689 0.435
0.300 0.807 0.572
0.691 0.801 0.056
0.118 0.990 0.260
0.684 0.183 0.433
0.883 0.992 0.742
0.495 0.056 0.203
0.006 0.576 0.731
0.998 0.591 0.198
0.505 0.939 0.792
0.003 0.006 0.000
0.498 0.501 0.495
```

Calculated values
**Theoretical density**: 6.0 g cm⁻³
**SG**: No. 1
**Crystal system**: triclinic

=====

Here is a relaxed structure of LiScCr2O8 from the Alexandria database. Energies are from GGA+U.

Cell and atoms, written as POSCAR:
```
LiScCr2O8
1.0
5.739 -0.016 0.000
-2.560 5.137 0.000
-1.590 -2.560 4.884
O Cr Sc Li
8 2 1 1
Direct
0.393 0.089 0.305
0.862 0.675 0.187
0.325 0.511 0.187
0.489 0.675 0.813
0.911 0.607 0.695
0.784 0.089 0.695
0.325 0.138 0.813
0.911 0.216 0.305
0.500 0.500 0.000
0.750 0.250 0.500
0.000 0.000 0.000
0.250 0.750 0.500
```

Calculated values
**Theoretical density**: 3.3 g cm⁻³
**SG**: No. 119
**Crystal system**: tetragonal

=====

Here is a relaxed structure of LiCr2SeO3 from the Alexandria database. Energies are from GGA+U.

Cell and atoms, written as POSCAR:
```
LiCr2SeO3
1.0
-3.586 1.433 4.978
-0.617 -4.015 4.815
2.586 1.242 5.609
Cr O Li Se
4 6 2 2
Direct
0.000 0.000 0.000
0.500 0.000 0.000
0.000 0.000 0.500
0.000 0.500 0.000
0.763 0.193 0.763
0.237 0.807 0.237
0.237 0.237 0.807
0.763 0.763 0.193
0.193 0.763 0.763
0.807 0.237 0.237
0.424 0.424 0.424
0.576 0.576 0.576
0.274 0.274 0.274
0.726 0.726 0.726
```

Calculated values
**Theoretical density**: 4.6 g cm⁻³
**SG**: No. 166
**Crystal system**: trigonal

=====

Here is a relaxed structure of Li2CrSeO from the Alexandria database. Energies are from GGA+U.

Cell and atoms, written as POSCAR:
```
Li2CrSeO
1.0
4.016 0.000 0.000
0.000 4.016 0.000
0.000 0.000 4.129
O Li Se Cr
1 2 1 1
Direct
0.000 0.000 0.000
0.000 0.500 0.000
0.500 0.000 0.000
0.500 0.500 0.500
0.000 0.000 0.500
```

Calculated values
**Theoretical density**: 4.0 g cm⁻³
**SG**: No. 123
**Crystal system**: tetragonal

=====

Here is a relaxed structure of Li2CrSeO6 from the Alexandria database. Energies are from GGA+U.

Cell and atoms, written as POSCAR:
```
Li2CrSeO6
1.0
4.846 0.000 0.000
0.000 5.295 0.000
0.000 0.000 5.295
O Se Cr Li
6 1 1 2
Direct
0.282 0.500 0.500
0.726 0.266 0.734
0.726 0.266 0.266
0.726 0.734 0.266
0.726 0.734 0.734
0.272 0.000 0.000
0.611 0.000 0.000
0.613 0.500 0.500
0.883 0.000 0.500
0.883 0.500 0.000
```

Calculated values
**Theoretical density**: 2.9 g cm⁻³
**SG**: No. 99
**Crystal system**: tetragonal

=====

no.,final energy (eV per atom),total moment (μB per formula unit)
1,-5.95,4.00
2,-6.39,2.99
3,-6.37,8.90
4,-6.94,9.00
5,-6.23,7.00
6,-6.88,6.00
7,-6.94,9.00
8,-6.38,8.56
9,-5.80,3.00
10,-7.27,8.20
11,-6.62,3.00
12,-7.02,0.00
13,-6.45,5.01
14,-5.34,4.00
15,-5.63,0.00